# 1
{
  "formula": "Ta2CdCl",
  "functional": "PBEsol",
  "state": "relaxed",
  "crystal_system": "tetragonal",
  "final_energy_ev_per_atom": -6.27,
  "raw_formation_energy_ev_per_atom": 0.8045,
  "dos_at_fermi_per_ev_atom": 0.725,
  "volume_a3_per_fu": 75.1,
  "lattice": [[3.956, 0.000, 0.000], [0.000, 3.956, 0.000], [0.000, 0.000, 4.798]],
  "species": ["Ta", "Ta", "Cd", "Cl"],
  "frac_coords": [[0.000, 0.500, 0.000], [0.500, 0.000, 0.000], [0.000, 0.000, 0.500], [0.500, 0.500, 0.500]]
}

=====

# 2
{
  "formula": "BaMo2Se",
  "functional": "PBEsol",
  "state": "relaxed",
  "crystal_system": "tetragonal",
  "final_energy_ev_per_atom": -6.36,
  "raw_formation_energy_ev_per_atom": 1.0255,
  "dos_at_fermi_per_ev_atom": 1.434,
  "volume_a3_per_fu": 87.4,
  "lattice": [[-2.033, 2.033, 5.285], [2.033, -2.033, 5.285], [2.033, 2.033, -5.285]],
  "species": ["Ba", "Mo", "Mo", "Se"],
  "frac_coords": [[0.000, 0.000, 0.000], [0.250, 0.750, 0.500], [0.750, 0.250, 0.500], [0.500, 0.500, 0.000]]
}

=====

# 3
{
  "formula": "SbMo2Cl",
  "functional": "PBEsol",
  "state": "relaxed",
  "crystal_system": "orthorhombic",
  "final_energy_ev_per_atom": -6.82,
  "raw_formation_energy_ev_per_atom": 0.7033,
  "dos_at_fermi_per_ev_atom": 1.283,
  "volume_a3_per_fu": 70.1,
  "lattice": [[2.935, 0.000, 0.000], [0.000, 4.445, 0.000], [0.000, 0.000, 5.372]],
  "species": ["Sb", "Mo", "Mo", "Cl"],
  "frac_coords": [[0.000, 0.000, 0.000], [0.000, 0.500, 0.500], [0.500, 0.500, 0.000], [0.500, 0.000, 0.500]]
}

=====

# 4
{
  "formula": "SrBS2",
  "functional": "PBEsol",
  "state": "relaxed",
  "crystal_system": "trigonal",
  "final_energy_ev_per_atom": -5.05,
  "raw_formation_energy_ev_per_atom": -0.6416,
  "dos_at_fermi_per_ev_atom": 0.743,
  "volume_a3_per_fu": 109.1,
  "lattice": [[2.230, 1.287, 6.336], [-2.230, 1.287, 6.336], [0.000, -2.575, 6.336]],
  "species": ["Sr", "B", "S", "S"],
  "frac_coords": [[0.000, 0.000, 0.000], [0.500, 0.500, 0.500], [0.410, 0.410, 0.410], [0.590, 0.590, 0.590]]
}

=====

# 5
{
  "formula": "Ca2CrCu",
  "functional": "PBEsol",
  "state": "relaxed",
  "crystal_system": "tetragonal",
  "final_energy_ev_per_atom": -4.23,
  "formation_enthalpy_0k_ev_per_atom": 0.481,
  "dos_at_fermi_per_ev_atom": 1.058,
  "volume_a3_per_fu": 93.2,
  "lattice": [[-2.554, 2.554, 3.573], [2.554, -2.554, 3.573], [2.554, 2.554, -3.573]],
  "species": ["Ca", "Ca", "Cr", "Cu"],
  "frac_coords": [[0.250, 0.750, 0.500], [0.750, 0.250, 0.500], [0.000, 0.000, 0.000], [0.500, 0.500, 0.000]]
}

=====

# 6
{
  "formula": "TiTl3Ir",
  "functional": "PBEsol",
  "state": "relaxed",
  "crystal_system": "cubic",
  "final_energy_ev_per_atom": -3.73,
  "formation_enthalpy_0k_ev_per_atom": 1.477,
  "dos_at_fermi_per_ev_atom": 1.568,
  "volume_a3_per_fu": 136.1,
  "lattice": [[5.143, 0.000, 0.000], [0.000, 5.143, 0.000], [0.000, 0.000, 5.143]],
  "species": ["Ti", "Tl", "Tl", "Tl", "Ir"],
  "frac_coords": [[0.000, 0.000, 0.000], [0.000, 0.000, 0.500], [0.000, 0.500, 0.000], [0.500, 0.000, 0.000], [0.500, 0.500, 0.500]]
}

=====

# 7
{
  "formula": "MoAs2P",
  "functional": "PBEsol",
  "state": "relaxed",
  "crystal_system": "trigonal",
  "final_energy_ev_per_atom": -6.94,
  "formation_enthalpy_0k_ev_per_atom": -0.002,
  "dos_at_fermi_per_ev_atom": 0.616,
  "volume_a3_per_fu": 66.7,
  "lattice": [[1.510, 0.872, 8.443], [-1.510, 0.872, 8.443], [0.000, -1.744, 8.443]],
  "species": ["Mo", "As", "As", "P"],
  "frac_coords": [[0.000, 0.000, 0.000], [0.258, 0.258, 0.258], [0.486, 0.486, 0.486], [0.734, 0.734, 0.734]]
}

=====

# 8
{
  "formula": "Cr3Fe",
  "functional": "PBEsol",
  "state": "relaxed",
  "crystal_system": "orthorhombic",
  "final_energy_ev_per_atom": -9.83,
  "formation_enthalpy_0k_ev_per_atom": 0.092,
  "dos_at_fermi_per_ev_atom": 1.098,
  "volume_a3_per_fu": 43.6,
  "lattice": [[-1.413, 1.978, 3.901], [1.413, -1.978, 3.901], [1.413, 1.978, -3.901]],
  "species": ["Cr", "Cr", "Cr", "Fe"],
  "frac_coords": [[0.000, 0.000, 0.000], [0.243, 0.743, 0.500], [0.757, 0.257, 0.500], [0.500, 0.500, 0.000]]
}

=====

# 9
{
  "formula": "LiMn9Se10",
  "functional": "PBEsol",
  "state": "relaxed",
  "crystal_system": "triclinic",
  "final_energy_ev_per_atom": -6.75,
  "raw_formation_energy_ev_per_atom": -0.3297,
  "dos_at_fermi_per_ev_atom": 0.464,
  "volume_a3_per_fu": 361.1,
  "lattice": [[6.423, 0.000, 0.000], [-2.147, 7.104, 0.000], [-1.080, -2.268, 7.914]],
  "species": ["Li", "Mn", "Mn", "Mn", "Mn", "Mn", "Mn", "Mn", "Mn", "Mn", "Se", "Se", "Se", "Se", "Se", "Se", "Se", "Se", "Se", "Se"],
  "frac_coords": [[0.000, 0.000, 0.000], [0.000, 0.500, 0.000], [0.198, 0.398, 0.399], [0.200, 0.901, 0.398], [0.399, 0.299, 0.801], [0.401, 0.802, 0.804], [0.599, 0.198, 0.196], [0.601, 0.701, 0.199], [0.800, 0.099, 0.602], [0.802, 0.602, 0.601], [0.100, 0.451, 0.700], [0.102, 0.948, 0.695], [0.302, 0.848, 0.101], [0.303, 0.355, 0.103], [0.499, 0.749, 0.502], [0.501, 0.251, 0.498], [0.697, 0.645, 0.897], [0.698, 0.152, 0.899], [0.898, 0.052, 0.305], [0.900, 0.549, 0.300]]
}

=====

# 10
{
  "formula": "Er2Ga3Ni",
  "functional": "PBEsol",
  "state": "relaxed",
  "crystal_system": "monoclinic",
  "final_energy_ev_per_atom": -5.03,
  "formation_enthalpy_0k_ev_per_atom": -0.692,
  "dos_at_fermi_per_ev_atom": 0.480,
  "volume_a3_per_fu": 108.0,
  "lattice": [[4.980, -2.134, 0.000], [4.980, 2.134, 0.000], [-4.666, 0.000, 5.080]],
  "species": ["Er", "Er", "Ga", "Ga", "Ga", "Ni"],
  "frac_coords": [[0.000, 0.000, 0.000], [0.086, 0.086, 0.588], [0.376, 0.376, 0.199], [0.688, 0.688, 0.975], [0.716, 0.716, 0.415], [0.371, 0.371, 0.573]]
}

=====

# 11
{
  "formula": "CoTc2Ge2",
  "functional": "PBEsol",
  "state": "relaxed",
  "crystal_system": "tetragonal",
  "final_energy_ev_per_atom": -7.45,
  "formation_enthalpy_0k_ev_per_atom": 0.580,
  "dos_at_fermi_per_ev_atom": 1.998,
  "volume_a3_per_fu": 78.3,
  "lattice": [[-1.893, 1.893, 5.464], [1.893, -1.893, 5.464], [1.893, 1.893, -5.464]],
  "species": ["Co", "Tc", "Tc", "Ge", "Ge"],
  "frac_coords": [[0.000, 0.000, 0.000], [0.250, 0.750, 0.500], [0.750, 0.250, 0.500], [0.395, 0.395, 0.000], [0.605, 0.605, 0.000]]
}

=====

# 12
{
  "formula": "YAl2Ni",
  "functional": "PBEsol",
  "state": "relaxed",
  "crystal_system": "orthorhombic",
  "final_energy_ev_per_atom": -5.95,
  "formation_enthalpy_0k_ev_per_atom": -0.659,
  "dos_at_fermi_per_ev_atom": 0.506,
  "volume_a3_per_fu": 69.3,
  "lattice": [[2.005, -5.076, 0.000], [2.005, 5.076, 0.000], [0.000, 0.000, 6.808]],
  "species": ["Y", "Y", "Al", "Al", "Al", "Al", "Ni", "Ni"],
  "frac_coords": [[0.061, 0.939, 0.750], [0.939, 0.061, 0.250], [0.343, 0.657, 0.554], [0.343, 0.657, 0.946], [0.657, 0.343, 0.054], [0.657, 0.343, 0.446], [0.216, 0.784, 0.250], [0.784, 0.216, 0.750]]
}

=====

# 13
{
  "formula": "NbGaP2Cl",
  "functional": "PBEsol",
  "state": "relaxed",
  "crystal_system": "tetragonal",
  "final_energy_ev_per_atom": -4.79,
  "raw_formation_energy_ev_per_atom": 0.7575,
  "dos_at_fermi_per_ev_atom": 0.785,
  "volume_a3_per_fu": 96.8,
  "lattice": [[4.568, 0.000, 0.000], [0.000, 4.568, 0.000], [0.000, 0.000, 4.638]],
  "species": ["Nb", "Ga", "P", "P", "Cl"],
  "frac_coords": [[0.000, 0.000, 0.000], [0.500, 0.500, 0.500], [0.000, 0.500, 0.500], [0.500, 0.000, 0.500], [0.500, 0.500, 0.000]]
}

=====

# 14
{
  "formula": "Ga3IrRu",
  "functional": "PBEsol",
  "state": "relaxed",
  "crystal_system": "cubic",
  "final_energy_ev_per_atom": -5.20,
  "formation_enthalpy_0k_ev_per_atom": 0.806,
  "dos_at_fermi_per_ev_atom": 1.026,
  "volume_a3_per_fu": 94.4,
  "lattice": [[4.553, 0.000, 0.000], [0.000, 4.553, 0.000], [0.000, 0.000, 4.553]],
  "species": ["Ga", "Ga", "Ga", "Ir", "Ru"],
  "frac_coords": [[0.000, 0.000, 0.500], [0.000, 0.500, 0.000], [0.500, 0.000, 0.000], [0.500, 0.500, 0.500], [0.000, 0.000, 0.000]]
}

=====

# 15
{
  "formula": "NiPtCl2",
  "functional": "PBEsol",
  "state": "relaxed",
  "crystal_system": "orthorhombic",
  "final_energy_ev_per_atom": -3.99,
  "raw_formation_energy_ev_per_atom": 0.2962,
  "dos_at_fermi_per_ev_atom": 1.032,
  "volume_a3_per_fu": 63.0,
  "lattice": [[-1.469, 2.826, 3.797], [1.469, -2.826, 3.797], [1.469, 2.826, -3.797]],
  "species": ["Ni", "Pt", "Cl", "Cl"],
  "frac_coords": [[0.000, 0.000, 0.000], [0.500, 0.500, 0.000], [0.222, 0.722, 0.500], [0.778, 0.278, 0.500]]
}

=====

# 16
{
  "formula": "NaAuIO2",
  "functional": "PBEsol",
  "state": "relaxed",
  "crystal_system": "tetragonal",
  "final_energy_ev_per_atom": -2.92,
  "raw_formation_energy_ev_per_atom": 0.5998,
  "dos_at_fermi_per_ev_atom": 1.220,
  "volume_a3_per_fu": 105.6,
  "lattice": [[4.127, 0.000, 0.000], [0.000, 4.127, 0.000], [0.000, 0.000, 6.203]],
  "species": ["Na", "Au", "I", "O", "O"],
  "frac_coords": [[0.000, 0.000, 0.000], [0.500, 0.500, 0.500], [0.000, 0.000, 0.500], [0.000, 0.500, 0.000], [0.500, 0.000, 0.000]]
}

=====

# 17
{
  "formula": "Ba5Au",
  "functional": "PBEsol",
  "state": "relaxed",
  "crystal_system": "tetragonal",
  "final_energy_ev_per_atom": -2.64,
  "formation_enthalpy_0k_ev_per_atom": -0.197,
  "dos_at_fermi_per_ev_atom": 1.321,
  "volume_a3_per_fu": 288.2,
  "lattice": [[4.104, 0.000, 0.000], [0.000, 4.104, 0.000], [0.000, 0.000, 17.116]],
  "species": ["Ba", "Ba", "Ba", "Ba", "Ba", "Au"],
  "frac_coords": [[0.000, 0.000, 0.000], [0.000, 0.000, 0.393], [0.000, 0.000, 0.607], [0.500, 0.500, 0.193], [0.500, 0.500, 0.807], [0.500, 0.500, 0.500]]
}

=====

# 18
{
  "formula": "TcHgSeBr2",
  "functional": "PBEsol",
  "state": "relaxed",
  "crystal_system": "tetragonal",
  "final_energy_ev_per_atom": -3.77,
  "raw_formation_energy_ev_per_atom": 0.1174,
  "dos_at_fermi_per_ev_atom": 0.636,
  "volume_a3_per_fu": 123.5,
  "lattice": [[5.131, 0.000, 0.000], [0.000, 5.131, 0.000], [0.000, 0.000, 4.691]],
  "species": ["Tc", "Hg", "Se", "Br", "Br"],
  "frac_coords": [[0.000, 0.000, 0.000], [0.500, 0.500, 0.500], [0.000, 0.000, 0.500], [0.000, 0.500, 0.000], [0.500, 0.000, 0.000]]
}

=====

# 19
{
  "formula": "LaY2Ru2",
  "functional": "PBEsol",
  "state": "relaxed",
  "crystal_system": "tetragonal",
  "final_energy_ev_per_atom": -8.04,
  "formation_enthalpy_0k_ev_per_atom": -0.172,
  "dos_at_fermi_per_ev_atom": 0.464,
  "volume_a3_per_fu": 110.1,
  "lattice": [[7.969, 0.000, 0.000], [0.000, 7.969, 0.000], [0.000, 0.000, 3.468]],
  "species": ["La", "La", "Y", "Y", "Y", "Y", "Ru", "Ru", "Ru", "Ru"],
  "frac_coords": [[0.000, 0.000, 0.000], [0.500, 0.500, 0.000], [0.143, 0.357, 0.500], [0.357, 0.857, 0.500], [0.643, 0.143, 0.500], [0.857, 0.643, 0.500], [0.156, 0.656, 0.000], [0.344, 0.156, 0.000], [0.656, 0.844, 0.000], [0.844, 0.344, 0.000]]
}

=====

# 20
{
  "formula": "BaSbW2",
  "functional": "PBEsol",
  "state": "relaxed",
  "crystal_system": "orthorhombic",
  "final_energy_ev_per_atom": -7.11,
  "raw_formation_energy_ev_per_atom": 1.4667,
  "dos_at_fermi_per_ev_atom": 1.094,
  "volume_a3_per_fu": 86.3,
  "lattice": [[3.617, 0.000, 0.000], [0.000, 4.797, 0.000], [0.000, 0.000, 4.973]],
  "species": ["Ba", "Sb", "W", "W"],
  "frac_coords": [[0.000, 0.000, 0.000], [0.500, 0.000, 0.500], [0.000, 0.500, 0.500], [0.500, 0.500, 0.000]]
}

=====

# 21
{
  "formula": "Ru2PbCl",
  "functional": "PBEsol",
  "state": "relaxed",
  "crystal_system": "orthorhombic",
  "final_energy_ev_per_atom": -5.78,
  "raw_formation_energy_ev_per_atom": 0.8121,
  "dos_at_fermi_per_ev_atom": 1.161,
  "volume_a3_per_fu": 68.0,
  "lattice": [[1.519, -2.692, 0.000], [1.519, 2.692, 0.000], [0.000, 0.000, 8.318]],
  "species": ["Ru", "Ru", "Pb", "Cl"],
  "frac_coords": [[0.000, 0.000, 0.236], [0.000, 0.000, 0.764], [0.500, 0.500, 0.500], [0.500, 0.500, 0.000]]
}

=====

# 22
{
  "formula": "RbHf3Cl",
  "functional": "PBEsol",
  "state": "relaxed",
  "crystal_system": "cubic",
  "final_energy_ev_per_atom": -6.22,
  "raw_formation_energy_ev_per_atom": 0.6920,
  "dos_at_fermi_per_ev_atom": 0.456,
  "volume_a3_per_fu": 119.0,
  "lattice": [[4.919, 0.000, 0.000], [0.000, 4.919, 0.000], [0.000, 0.000, 4.919]],
  "species": ["Rb", "Hf", "Hf", "Hf", "Cl"],
  "frac_coords": [[0.000, 0.000, 0.000], [0.000, 0.500, 0.500], [0.500, 0.000, 0.500], [0.500, 0.500, 0.000], [0.500, 0.500, 0.500]]
}

=====

# 23
{
  "formula": "NiAsPd",
  "functional": "PBEsol",
  "state": "relaxed",
  "crystal_system": "hexagonal",
  "final_energy_ev_per_atom": -6.09,
  "formation_enthalpy_0k_ev_per_atom": -0.351,
  "dos_at_fermi_per_ev_atom": 0.708,
  "volume_a3_per_fu": 40.5,
  "lattice": [[6.157, 0.000, 0.000], [-3.079, 5.332, 0.000], [0.000, 0.000, 3.705]],
  "species": ["Ni", "Ni", "Ni", "As", "As", "As", "Pd", "Pd", "Pd"],
  "frac_coords": [[0.000, 0.250, 0.000], [0.250, 0.000, 0.000], [0.750, 0.750, 0.000], [0.000, 0.000, 0.500], [0.333, 0.667, 0.000], [0.667, 0.333, 0.000], [0.000, 0.591, 0.500], [0.409, 0.409, 0.500], [0.591, 0.000, 0.500]]
}

=====

# 24
{
  "formula": "AgP2Ir",
  "functional": "PBEsol",
  "state": "relaxed",
  "crystal_system": "tetragonal",
  "final_energy_ev_per_atom": -6.03,
  "formation_enthalpy_0k_ev_per_atom": 0.154,
  "dos_at_fermi_per_ev_atom": 0.398,
  "volume_a3_per_fu": 61.7,
  "lattice": [[2.827, 0.000, 0.000], [0.000, 2.827, 0.000], [0.000, 0.000, 7.716]],
  "species": ["Ag", "P", "P", "Ir"],
  "frac_coords": [[0.000, 0.000, 0.000], [0.000, 0.000, 0.451], [0.500, 0.500, 0.757], [0.500, 0.500, 0.283]]
}

=====

# 25
{
  "formula": "Ca2Mg2Cu",
  "functional": "PBEsol",
  "state": "relaxed",
  "crystal_system": "orthorhombic",
  "final_energy_ev_per_atom": -2.42,
  "formation_enthalpy_0k_ev_per_atom": -0.014,
  "dos_at_fermi_per_ev_atom": 0.611,
  "volume_a3_per_fu": 129.3,
  "lattice": [[-1.742, 3.599, 5.157], [1.742, -3.599, 5.157], [1.742, 3.599, -5.157]],
  "species": ["Ca", "Ca", "Mg", "Mg", "Cu"],
  "frac_coords": [[0.247, 0.247, 0.000], [0.753, 0.753, 0.000], [0.286, 0.000, 0.286], [0.714, 0.000, 0.714], [0.000, 0.500, 0.500]]
}

=====

# 26
{
  "formula": "Ta2SbAu",
  "functional": "PBEsol",
  "state": "relaxed",
  "crystal_system": "orthorhombic",
  "final_energy_ev_per_atom": -8.30,
  "raw_formation_energy_ev_per_atom": 0.0913,
  "dos_at_fermi_per_ev_atom": 0.568,
  "volume_a3_per_fu": 72.4,
  "lattice": [[-1.768, 2.304, 4.441], [1.768, -2.304, 4.441], [1.768, 2.304, -4.441]],
  "species": ["Ta", "Ta", "Sb", "Au"],
  "frac_coords": [[0.000, 0.000, 0.000], [0.743, 0.243, 0.500], [0.251, 0.751, 0.500], [0.489, 0.489, 0.000]]
}